Density functional theory data (PBE) for a relaxed structure of HfV2C.

Properties
**Energy relative to the elements**: 0.586 eV/atom
**Symmetry**: I-42d (122)
**Offset from the most stable computed form**: 87.39 kJ per mole of atoms
**VASP energy**: -35.1 eV/f.u.

Cell and atoms, written as extended XYZ:
```
8
Lattice="5.901 0.000 0.000 0.000 5.901 0.000 2.951 2.951 3.795" Properties=species:S:1:pos:R:3 pbc="T T T"
C 2.951 5.901 1.897
V 3.569 1.475 0.949
Hf 5.901 2.951 1.897
V 7.377 6.520 2.846
V 4.426 5.283 2.846
C 2.951 2.951 0.000
Hf 0.000 0.000 0.000
V 2.332 4.426 0.949
```



Density functional theory data (PBE) for a relaxed structure of HfVC3.

Properties
**Energy relative to the elements**: 0.944 eV/atom
**Symmetry**: Pm-3m (221)
**Offset from the most stable computed form**: 0.00 kJ per mole of atoms
**VASP energy**: -42.0 eV/f.u.

Cell and atoms, written as extended XYZ:
```
5
Lattice="3.824 0.000 0.000 0.000 3.824 0.000 0.000 0.000 3.824" Properties=species:S:1:pos:R:3 pbc="T T T"
Hf 1.912 1.912 1.912
C 0.000 0.000 1.912
C 1.912 0.000 0.000
C 0.000 1.912 0.000
V 0.000 0.000 0.000
```



Density functional theory data (PBE) for a relaxed structure of HfV3C.

Properties
**Energy relative to the elements**: 2.915 eV/atom
**Symmetry**: Pm-3m (221)
**Offset from the most stable computed form**: 307.72 kJ per mole of atoms
**VASP energy**: -32.0 eV/f.u.

Cell and atoms, written as extended XYZ:
```
5
Lattice="-4.021 2.291 0.542 -1.971 -2.689 -3.255 -1.287 -3.038 3.289" Properties=species:S:1:pos:R:3 pbc="T T T"
V -0.644 -1.519 1.645
V -0.985 -1.344 -1.627
Hf 0.000 0.000 0.000
V -2.010 1.145 0.271
C -3.640 -1.718 0.288
```



Density functional theory data (PBE) for a relaxed structure of YHf2VC.

Properties
**Energy relative to the elements**: 2.311 eV/atom
**Symmetry**: P4/mmm (123)
**VASP energy**: -33.2 eV/f.u.

Cell and atoms, written as extended XYZ:
```
5
Lattice="-3.071 1.990 3.781 -3.300 -0.703 -2.311 -0.475 -4.787 2.133" Properties=species:S:1:pos:R:3 pbc="T T T"
Hf -1.536 0.995 1.891
Y 0.000 0.000 0.000
C -1.650 -0.351 -1.155
V -3.423 -1.750 1.802
Hf -0.237 -2.393 1.067
```



Density functional theory data (PBE) for a relaxed structure of Hf2VZnC.

Properties
**Energy relative to the elements**: -0.362 eV/atom
**Symmetry**: P4/mmm (123)
**VASP energy**: -41.3 eV/f.u.

Cell and atoms, written as extended XYZ:
```
5
Lattice="-0.543 -1.796 4.078 4.215 1.126 1.057 -1.275 3.492 1.368" Properties=species:S:1:pos:R:3 pbc="T T T"
Hf -0.272 -0.898 2.039
C 0.000 0.000 0.000
Zn 1.198 1.411 3.251
Hf 2.108 0.563 0.528
V -0.638 1.746 0.684
```



Density functional theory data (PBE) for a relaxed structure of HfWC3.

Properties
**Energy relative to the elements**: 1.177 eV/atom
**Symmetry**: Pm-3m (221)
**Offset from the most stable computed form**: 0.00 kJ per mole of atoms
**VASP energy**: -44.7 eV/f.u.

Cell and atoms, written as extended XYZ:
```
5
Lattice="4.010 0.000 0.000 0.000 4.010 0.000 0.000 0.000 4.010" Properties=species:S:1:pos:R:3 pbc="T T T"
W 0.000 0.000 0.000
Hf 2.005 2.005 2.005
C 0.000 0.000 2.005
C 0.000 2.005 0.000
C 2.005 0.000 0.000
```



Question: Among the records above, which one has the highest VASP energy?
Answer: HfV3C